Entry 1:
Hf2VSb | GGA-PBE | optimized geometry

Results
ΔE_f (raw) (meV per atom): -154
ΔE to the lowest computed polymorph (meV/atom): 0
E_tot (eV/atom): -8.44

a b c (Å): 4.5035 4.5035 3.8587
angles (deg): 90.00 90.00 90.00
Positions (direct):
Hf  0.0000  0.5000  0.0000
Hf  0.5000  0.0000  0.0000
V  0.0000  0.0000  0.5000
Sb  0.5000  0.5000  0.5000

***

Entry 2:
Hf2VSb | GGA-PBE | optimized geometry

Results
ΔE_f (raw) (meV per atom): 87
ΔE to the lowest computed polymorph (meV/atom): 241
E_tot (eV/atom): -8.20

a b c (Å): 9.1580 9.1580 9.1580
angles (deg): 20.64 20.64 20.64
Positions (direct):
Hf  0.2443  0.2443  0.2443
Hf  0.7557  0.7557  0.7557
V  0.5000  0.5000  0.5000
Sb  0.0000  0.0000  0.0000

***

Entry 3:
HfVSb2 | GGA-PBE | optimized geometry

Results
ΔE_f (raw) (meV per atom): -30
ΔE to the lowest computed polymorph (meV/atom): 0
E_tot (eV/atom): -6.86

a b c (Å): 4.8560 4.8560 4.8560
angles (deg): 60.00 60.00 60.00
Positions (direct):
Hf  0.0000  0.0000  0.0000
V  0.5000  0.5000  0.5000
Sb  0.2500  0.2500  0.2500
Sb  0.7500  0.7500  0.7500

***

Question: What is the formula in the second record?
Answer: Hf2VSb

***

What did the first record say?
Hf2VSb | GGA-PBE | optimized geometry

Results
ΔE_f (raw) (meV per atom): -154
ΔE to the lowest computed polymorph (meV/atom): 0
E_tot (eV/atom): -8.44

a b c (Å): 4.5035 4.5035 3.8587
angles (deg): 90.00 90.00 90.00
Positions (direct):
Hf  0.0000  0.5000  0.0000
Hf  0.5000  0.0000  0.0000
V  0.0000  0.0000  0.5000
Sb  0.5000  0.5000  0.5000

***

Question: Number 2 is which compound?
Answer: Hf2VSb